La3Sm3Ho4 | PBE | relaxed

Results
E_form	0.087	eV/atom
DOS(E_F)	1.209	states/eV/atom
magnetization	0.366	μB/f.u.

Unit cell a=3.6798 b=9.7061 c=9.7061 alpha=90.03 beta=90.00 gamma=90.00
With the nearest neighbours (Å) after each atom.
Atoms (fractional coordinates):
La  0.0000  0.0000  0.0000  6 Ho 3.36-3.49, 2 La 3.68
La  0.5000  0.1760  0.6716  4 La 3.68-4.06, 4 Ho 3.79-3.91, 6 Sm 4.00-4.03
La  0.5000  0.6716  0.1760  4 La 3.68-4.06, 4 Ho 3.79-3.91, 6 Sm 4.00-4.03
Sm  0.0000  0.3500  0.3500  6 Ho 3.33-3.43, 2 Sm 3.68
Sm  0.0000  0.5003  0.8482  6 Ho 3.35-3.45, 2 Sm 3.68
Sm  0.0000  0.8482  0.5003  6 Ho 3.35-3.45, 2 Sm 3.68
Ho  0.5000  0.0553  0.3004  4 Sm 3.35-3.43, 3 Ho 3.36-3.68, 2 La 3.49
Ho  0.5000  0.3004  0.0553  4 Sm 3.35-3.43, 3 Ho 3.36-3.68, 2 La 3.49
Ho  0.5000  0.5526  0.5526  3 Ho 3.32-3.68, 6 Sm 3.33-3.45
Ho  0.5000  0.7949  0.7949  3 Ho 3.32-3.68, 2 La 3.36, 4 Sm 3.44

***

La9SmHo2 | PBE | relaxed

Results
E_form	0.007	eV/atom
DOS(E_F)	1.381	states/eV/atom
magnetization	0.000	μB/f.u.

Unit cell a=5.2078 b=5.2078 c=15.6326 alpha=90.00 beta=90.00 gamma=90.00
With the nearest neighbours (Å) after each atom.
Atoms (fractional coordinates):
La  0.0000  0.0000  0.0000  4 Sm 3.68, 8 La 3.70
La  0.0000  0.0000  0.3338  8 La 3.68, 4 Ho 3.68
La  0.0000  0.0000  0.6662  8 La 3.68, 4 Ho 3.68
La  0.0000  0.5000  0.1678  8 La 3.68-3.70, 2 Ho 3.68, 2 Sm 3.70
La  0.0000  0.5000  0.5000  4 Ho 3.67, 8 La 3.68
La  0.0000  0.5000  0.8322  8 La 3.68-3.70, 2 Ho 3.68, 2 Sm 3.70
La  0.5000  0.0000  0.1678  8 La 3.68-3.70, 2 Ho 3.68, 2 Sm 3.70
La  0.5000  0.0000  0.5000  4 Ho 3.67, 8 La 3.68
La  0.5000  0.0000  0.8322  8 La 3.68-3.70, 2 Ho 3.68, 2 Sm 3.70
Sm  0.5000  0.5000  0.0000  12 La 3.68-3.70
Ho  0.5000  0.5000  0.3342  12 La 3.67-3.68
Ho  0.5000  0.5000  0.6658  12 La 3.67-3.68